# Ca2LaUO6

A relaxed structure of Ca2LaUO6 (GGA-PBE, the Alexandria database).

E_form (uncorrected)	-3252	meV per atom

a b c (Å): 6.193 6.193 6.193
angles (deg): 57.49 57.49 57.49
Element x y z (fractional)
Ca  0.000  0.000  0.000
Ca  0.493  0.493  0.493
La  0.218  0.218  0.218
U  0.707  0.707  0.707
O  0.073  0.433  0.816
O  0.340  0.896  0.610
O  0.433  0.816  0.073
O  0.610  0.340  0.896
O  0.816  0.073  0.433
O  0.896  0.610  0.340